[1]
Entry from Alexandria: a relaxed structure of K3Fe2O4 (GGA+U).

a b c (Å): 7.4122 7.4122 5.8617
angles (deg): 91.98 91.98 73.33
Closest atoms and distances in Å follow each position.
Fractional coordinates of all 18 atoms:
1 K 0.0978 0.9022 0.7500  6 O 2.69-2.93
2 K 0.2466 0.5316 0.4597  5 O 2.76-2.98
3 K 0.4684 0.7534 0.0403  5 O 2.76-2.98
4 K 0.5316 0.2466 0.9597  5 O 2.76-2.98
5 K 0.7534 0.4684 0.5403  5 O 2.76-2.98
6 K 0.9022 0.0978 0.2500  6 O 2.69-2.93
7 Fe 0.0947 0.3291 0.9273  4 O 1.96-2.02
8 Fe 0.3291 0.0947 0.4273  4 O 1.96-2.02
9 Fe 0.6709 0.9053 0.5727  4 O 1.96-2.02
10 Fe 0.9053 0.6709 0.0727  4 O 1.96-2.02
11 O 0.1156 0.2384 0.6084  2 Fe 1.96
12 O 0.1760 0.5619 0.9817  2 Fe 2.00-2.02
13 O 0.2384 0.1156 0.1084  2 Fe 1.96
14 O 0.4381 0.8240 0.5183  2 Fe 2.00-2.02
15 O 0.5619 0.1760 0.4817  2 Fe 2.00-2.02
16 O 0.7616 0.8844 0.8916  2 Fe 1.96
17 O 0.8240 0.4381 0.0183  2 Fe 2.00-2.02
18 O 0.8844 0.7616 0.3916  2 Fe 1.96

Computed properties:
symmetry: C2/c, No. 15
VASP energy: -5.23 eV per atom
crystal system: monoclinic

---

[2]
Entry from Alexandria: a relaxed structure of K6FeO4 (GGA+U).

a b c (Å): 9.1283 9.1283 6.5464
angles (deg): 90.00 90.00 120.00
Closest atoms and distances in Å follow each position.
Fractional coordinates of all 22 atoms:
1 K 0.0802 0.5401 0.0000  3 O 2.74-2.79
2 K 0.1403 0.2805 0.6583  1 O 2.66
3 K 0.1403 0.8597 0.6583  1 O 2.66
4 K 0.2805 0.1403 0.1583  1 O 2.66
5 K 0.4599 0.5401 0.0000  3 O 2.74-2.79
6 K 0.4599 0.9198 0.0000  3 O 2.74-2.79
7 K 0.5401 0.0802 0.5000  3 O 2.74-2.79
8 K 0.5401 0.4599 0.5000  3 O 2.74-2.79
9 K 0.7195 0.8597 0.6583  1 O 2.66
10 K 0.8597 0.1403 0.1583  1 O 2.66
11 K 0.8597 0.7195 0.1583  1 O 2.66
12 K 0.9198 0.4599 0.5000  3 O 2.74-2.79
13 Fe 0.3333 0.6667 0.4045  4 O 1.94-1.95
14 Fe 0.6667 0.3333 0.9045  4 O 1.94-1.95
15 O 0.2183 0.4367 0.2992  1 Fe 1.94
16 O 0.2183 0.7817 0.2992  1 Fe 1.94
17 O 0.3333 0.6667 0.7023  1 Fe 1.95
18 O 0.4367 0.2183 0.7992  1 Fe 1.94
19 O 0.5633 0.7817 0.2992  1 Fe 1.94
20 O 0.6667 0.3333 0.2023  1 Fe 1.95
21 O 0.7817 0.2183 0.7992  1 Fe 1.94
22 O 0.7817 0.5633 0.7992  1 Fe 1.94

Computed properties:
symmetry: P6_3mc, No. 186
VASP energy: -4.06 eV per atom
crystal system: hexagonal

---

[3]
Entry from Alexandria: a relaxed structure of K3Fe4O8 (GGA+U).

a b c (Å): 6.3072 6.3072 7.4966
angles (deg): 90.00 90.00 90.00
Closest atoms and distances in Å follow each position.
Fractional coordinates of all 15 atoms:
1 K 0.0000 0.0000 0.0000  4 O 3.08
2 K 0.0000 0.5000 0.2828  4 O 2.98-3.15
3 K 0.5000 0.0000 0.7172  4 O 2.98-3.15
4 Fe 0.0000 0.0000 0.5000  4 O 1.88
5 Fe 0.0000 0.5000 0.7683  4 O 1.86-1.87
6 Fe 0.5000 0.0000 0.2317  4 O 1.86-1.87
7 Fe 0.5000 0.5000 0.0000  4 O 1.82
8 O 0.0000 0.2441 0.6439  2 Fe 1.86-1.88
9 O 0.0000 0.7559 0.6439  2 Fe 1.86-1.88
10 O 0.2226 0.5000 0.9328  2 Fe 1.82-1.87
11 O 0.2441 0.0000 0.3561  2 Fe 1.86-1.88
12 O 0.5000 0.2226 0.0672  2 Fe 1.82-1.87
13 O 0.5000 0.7774 0.0672  2 Fe 1.82-1.87
14 O 0.7559 0.0000 0.3561  2 Fe 1.86-1.88
15 O 0.7774 0.5000 0.9328  2 Fe 1.82-1.87

Computed properties:
symmetry: P-4m2, No. 115
VASP energy: -5.71 eV per atom
crystal system: tetragonal

---

[4]
Entry from Alexandria: a relaxed structure of K2Fe2O3 (GGA+U).

a b c (Å): 6.4717 6.4717 5.7296
angles (deg): 116.26 116.26 35.99
Closest atoms and distances in Å follow each position.
Fractional coordinates of all 7 atoms:
1 K 0.0915 0.0915 0.3479  4 O 2.67-2.76
2 K 0.9085 0.9085 0.6521  4 O 2.67-2.76
3 Fe 0.3475 0.3475 0.0372  4 O 1.99-2.07
4 Fe 0.6525 0.6525 0.9628  4 O 1.99-2.07
5 O 0.1602 0.1602 0.8797  3 Fe 2.05-2.07
6 O 0.5000 0.5000 0.0000  2 Fe 1.99
7 O 0.8398 0.8398 0.1203  3 Fe 2.05-2.07

Computed properties:
symmetry: C2/m, No. 12
VASP energy: -5.39 eV per atom
crystal system: monoclinic

---

[5]
Entry from Alexandria: a relaxed structure of KFeO2 (GGA+U).

a b c (Å): 2.7598 2.7598 6.2808
angles (deg): 90.00 90.00 90.00
Closest atoms and distances in Å follow each position.
Fractional coordinates of all 4 atoms:
1 K 0.0000 0.0000 0.0000  8 O 2.76, 4 K 2.76
2 Fe 0.0000 0.0000 0.5000  8 O 2.29
3 O 0.5000 0.5000 0.3098  4 Fe 2.29, 1 O 2.39
4 O 0.5000 0.5000 0.6902  4 Fe 2.29, 1 O 2.39

Computed properties:
symmetry: P4/mmm, No. 123
VASP energy: -5.05 eV per atom
crystal system: tetragonal

---

[6]
Entry from Alexandria: a relaxed structure of K5Fe2O6 (GGA+U).

a b c (Å): 6.3805 6.3805 14.1170
angles (deg): 98.23 98.23 66.10
Closest atoms and distances in Å follow each position.
Fractional coordinates of all 26 atoms:
1 K 0.1249 0.8751 0.7500  4 O 2.69-2.99
2 K 0.1778 0.7204 0.0025  5 O 2.74-3.06
3 K 0.2578 0.4360 0.2853  5 O 2.62-2.79
4 K 0.2796 0.8222 0.4975  5 O 2.74-3.06
5 K 0.4360 0.2578 0.7853  5 O 2.62-2.79
6 K 0.5640 0.7422 0.2147  5 O 2.62-2.79
7 K 0.7204 0.1778 0.5025  5 O 2.74-3.06
8 K 0.7422 0.5640 0.7147  5 O 2.62-2.79
9 K 0.8222 0.2796 0.9975  5 O 2.74-3.06
10 K 0.8751 0.1249 0.2500  4 O 2.69-2.99
11 Fe 0.1547 0.3970 0.5740  4 O 1.81-1.97
12 Fe 0.3970 0.1547 0.0740  4 O 1.81-1.97
13 Fe 0.6030 0.8453 0.9260  4 O 1.81-1.97
14 Fe 0.8453 0.6030 0.4260  4 O 1.81-1.97
15 O 0.1136 0.3102 0.4378  2 Fe 1.93-1.97
16 O 0.1194 0.1952 0.6441  1 Fe 1.83
17 O 0.1952 0.1194 0.1441  1 Fe 1.83
18 O 0.3102 0.1136 0.9378  2 Fe 1.93-1.97
19 O 0.4009 0.4639 0.6240  1 Fe 1.81
20 O 0.4639 0.4009 0.1240  1 Fe 1.81
21 O 0.5361 0.5991 0.8760  1 Fe 1.81
22 O 0.5991 0.5361 0.3760  1 Fe 1.81
23 O 0.6898 0.8864 0.0622  2 Fe 1.93-1.97
24 O 0.8048 0.8806 0.8559  1 Fe 1.83
25 O 0.8806 0.8048 0.3559  1 Fe 1.83
26 O 0.8864 0.6898 0.5622  2 Fe 1.93-1.97

Computed properties:
symmetry: C2/c, No. 15
VASP energy: -4.98 eV per atom
crystal system: monoclinic

---

[7]
Entry from Alexandria: a relaxed structure of K4FeO3 (GGA+U).

a b c (Å): 6.7297 6.7297 9.6523
angles (deg): 113.42 113.42 61.36
Closest atoms and distances in Å follow each position.
Fractional coordinates of all 16 atoms:
1 K 0.0032 0.3451 0.3997  3 O 2.65-2.73
2 K 0.1480 0.8520 0.5000  4 O 2.66-2.80
3 K 0.1889 0.5284 0.8194  3 O 2.66-2.73
4 K 0.3451 0.0032 0.8997  3 O 2.65-2.73
5 K 0.3848 0.6818 0.2193  4 O 2.66-2.81
6 K 0.5284 0.1889 0.3194  3 O 2.66-2.73
7 K 0.6818 0.3848 0.7193  4 O 2.66-2.81
8 K 0.8520 0.1480 0.0000  4 O 2.66-2.80
9 Fe 0.6607 0.8724 0.6095  3 O 1.92
10 Fe 0.8724 0.6607 0.1095  3 O 1.92
11 O 0.1525 0.3808 0.1085  1 Fe 1.92
12 O 0.3808 0.1525 0.6085  1 Fe 1.92
13 O 0.5792 0.6216 0.0066  1 Fe 1.92
14 O 0.6216 0.5792 0.5066  1 Fe 1.92
15 O 0.9107 0.9542 0.2128  1 Fe 1.92
16 O 0.9542 0.9107 0.7128  1 Fe 1.92

Computed properties:
symmetry: Cc, No. 9
VASP energy: -4.38 eV per atom
crystal system: monoclinic

---

[8]
Entry from Alexandria: a relaxed structure of K3FeO2 (GGA+U).

a b c (Å): 6.1951 6.1951 14.6476
angles (deg): 90.00 90.00 90.00
Closest atoms and distances in Å follow each position.
Fractional coordinates of all 24 atoms:
1 K 0.0012 0.4984 0.1250  4 O 2.87-2.89
2 K 0.0016 0.5012 0.3750  4 O 2.87-2.89
3 K 0.0035 0.0035 0.5000  2 O 2.56
4 K 0.4965 0.5035 0.7500  2 O 2.56
5 K 0.4984 0.0012 0.8750  4 O 2.87-2.89
6 K 0.4988 0.9984 0.1250  4 O 2.87-2.89
7 K 0.5012 0.0016 0.6250  4 O 2.87-2.89
8 K 0.5016 0.9988 0.3750  4 O 2.87-2.89
9 K 0.5035 0.4965 0.2500  2 O 2.56
10 K 0.9965 0.9965 0.0000  2 O 2.56
11 K 0.9984 0.4988 0.8750  4 O 2.87-2.89
12 K 0.9988 0.5016 0.6250  4 O 2.87-2.89
13 Fe 0.0004 0.9996 0.2500  2 O 1.82
14 Fe 0.9996 0.0004 0.7500  2 O 1.82
15 Fe 0.4996 0.4996 0.0000  2 O 1.82
16 Fe 0.5004 0.5004 0.5000  2 O 1.82
17 O 0.2084 0.2077 0.2511  1 Fe 1.82
18 O 0.2077 0.2084 0.7489  1 Fe 1.82
19 O 0.2923 0.7084 0.5011  1 Fe 1.82
20 O 0.2916 0.7077 0.9989  1 Fe 1.82
21 O 0.7077 0.2916 0.0011  1 Fe 1.82
22 O 0.7084 0.2923 0.4989  1 Fe 1.82
23 O 0.7923 0.7916 0.2489  1 Fe 1.82
24 O 0.7916 0.7923 0.7511  1 Fe 1.82

Computed properties:
symmetry: P4_12_12, No. 92
VASP energy: -4.22 eV per atom
crystal system: tetragonal